The following is a GGA-PBE calculation of an optimized crystal structure of ZrNiBiMo, from OQMD via LeMat-Bulk.

Results
electronic total energy = -7.02 eV per atom
total magnetization = 0.004 μB per atom

Unit cell a=4.694 b=4.694 c=4.694 alpha=60.00 beta=60.00 gamma=60.00
Element x y z (fractional)
Ni  0.750  0.750  0.750
Bi  0.000  0.000  0.000
Zr  0.500  0.500  0.500
Mo  0.250  0.250  0.250


The following is a GGA-PBE calculation of an optimized crystal structure of NbB, from OQMD via LeMat-Bulk.

Results
electronic total energy = -8.98 eV per atom
total magnetization = 0.001 μB per atom

Unit cell a=3.267 b=3.267 c=3.267 alpha=60.00 beta=60.00 gamma=60.00
Element x y z (fractional)
Nb  0.500  0.500  0.500
B  0.000  0.000  0.000


The following is a GGA-PBE calculation of an optimized crystal structure of Al2ZnIr, from OQMD via LeMat-Bulk.

Results
electronic total energy = -4.64 eV per atom
total magnetization = 0.001 μB per atom

Unit cell a=4.336 b=4.336 c=4.336 alpha=60.00 beta=60.00 gamma=60.00
Element x y z (fractional)
Al  0.750  0.750  0.750
Ir  0.250  0.250  0.250
Al  0.000  0.000  0.000
Zn  0.500  0.500  0.500


The following is a GGA-PBE calculation of an optimized crystal structure of ZnNiPbS3, from OQMD via LeMat-Bulk.

Results
electronic total energy = -4.12 eV per atom
total magnetization = 0.282 μB per atom
distance to the lowest polymorph of the same formula = 0.00 eV/f.u.

Unit cell a=6.842 b=6.842 c=9.227 alpha=90.00 beta=90.00 gamma=31.96
Each line ends with the local moment (μB).
Element x y z (fractional)
S  0.626  0.626  0.544  0.13
Ni  0.000  0.000  0.500  1.08
Zn  0.530  0.530  0.750  0.02
S  0.374  0.374  0.456  0.13
Zn  0.470  0.470  0.250  0.02
S  0.626  0.626  0.956  0.13
S  0.927  0.927  0.750  0.09
Ni  0.000  0.000  0.000  1.08
S  0.073  0.073  0.250  0.09
S  0.374  0.374  0.044  0.13
Pb  0.754  0.754  0.250  0.04
Pb  0.246  0.246  0.750  0.04


The following is a GGA-PBE calculation of an optimized crystal structure of PrEr, from OQMD via LeMat-Bulk.

Results
electronic total energy = -4.00 eV per atom
ΔE_f = 0.67 eV per atom
total magnetization = 0.021 μB per atom
distance to the lowest polymorph of the same formula = 1.25 eV/f.u.

Unit cell a=4.600 b=4.600 c=4.600 alpha=60.00 beta=60.00 gamma=60.00
Element x y z (fractional)
Er  0.000  0.000  0.000
Pr  0.500  0.500  0.500


The following is a GGA-PBE calculation of an optimized crystal structure of Cu4Ag, from OQMD via LeMat-Bulk.

Results
electronic total energy = -3.47 eV per atom
ΔE_f = 0.07 eV per atom
distance to the lowest polymorph of the same formula = 0.12 eV/f.u.

Unit cell a=9.485 b=9.485 c=3.743 alpha=90.00 beta=90.00 gamma=157.23
Element x y z (fractional)
Cu  0.750  0.250  0.250
Cu  0.149  0.851  0.250
Cu  0.851  0.149  0.750
Cu  0.954  0.046  0.250
Cu  0.454  0.546  0.750
Cu  0.046  0.954  0.750
Cu  0.546  0.454  0.250
Ag  0.352  0.648  0.250
Cu  0.250  0.750  0.750
Ag  0.648  0.352  0.750


Look up the electronic total energy of the fourth one. -4.12 eV per atom


What did the fifth record say?
The following is a GGA-PBE calculation of an optimized crystal structure of PrEr, from OQMD via LeMat-Bulk.

Results
electronic total energy = -4.00 eV per atom
ΔE_f = 0.67 eV per atom
total magnetization = 0.021 μB per atom
distance to the lowest polymorph of the same formula = 1.25 eV/f.u.

Unit cell a=4.600 b=4.600 c=4.600 alpha=60.00 beta=60.00 gamma=60.00
Element x y z (fractional)
Er  0.000  0.000  0.000
Pr  0.500  0.500  0.500